A relaxed Pm2ScSi3Rh4 crystal, computed with PBE.

Summary:
DOS(E_F) ... 6.6 states/eV/f.u.
Uncorrected energy ... -7.183 eV per atom
Crystal system ... tetragonal
Total magnetic moment ... 0.0 μB/cell
Formation energy (no corrections) ... -1.03 eV per atom
Space group ... P-4m2 (115)

POSCAR file:
```
Pm2ScSi3Rh4
1.0
4.1146 0.0000 0.0000
0.0000 4.1146 0.0000
0.0000 0.0000 10.6177
Pm Sc Si Rh
2 1 3 4
Cartesian
0.0000 2.0573 2.5278
2.0573 0.0000 8.0899
0.0000 0.0000 5.3089
0.0000 2.0573 9.3296
2.0573 0.0000 1.2881
2.0573 2.0573 5.3089
0.0000 0.0000 0.0000
0.0000 2.0573 6.9016
2.0573 0.0000 3.7161
2.0573 2.0573 0.0000
```